Compound: ZnRe2GeI
Source: Alexandria
Functional: GGA-PBE
Structure: relaxed

Summary:
magnetic moment	2.3	μB/f.u.
calculated total energy	-4.523	eV per atom
DOS(E_F)	4.96	states/eV/f.u.
SG	P4/mmm

a = 4.812 Å, b = 4.420 Å, c = 4.812 Å
α = 90.00°, β = 90.00°, γ = 90.00°
Element x y z (fractional)
1 Re 0.500 0.000 0.000
2 Re 0.000 0.000 0.500
3 Zn 0.000 0.000 0.000
4 Ge 0.000 0.500 0.000
5 I 0.500 0.500 0.500